Record 1
The following is a DFT calculation (PBE) of a relaxed RbAlFeS3 crystal.

Output
Polymorph energy (0 for the lowest one), eV per formula unit: 0.000

Structure (CIF):
```
data_RbAlFeS3
_cell_length_a 8.744
_cell_length_b 3.577
_cell_length_c 9.554
_cell_angle_alpha 90.00
_cell_angle_beta 112.28
_cell_angle_gamma 90.00
_symmetry_space_group_name_H-M 'P 1 21/m 1'
_symmetry_Int_Tables_number 11
_symmetry_space_group_name_Hall '-P 2yb'
loop_
_atom_site_label
_atom_site_fract_x
_atom_site_fract_y
_atom_site_fract_z
Rb1 0.215 0.250 0.243
Al1 0.347 0.750 0.880
Fe1 0.076 0.250 0.595
S1 0.149 0.250 0.856
S2 0.210 0.750 0.543
S3 0.479 0.750 0.146
```

***

Record 2
The following is a DFT calculation (PBE) of a relaxed RbAlFeS3 crystal.

Output
Polymorph energy (0 for the lowest one), eV per formula unit: 0.276

Structure (CIF):
```
data_RbAlFeS3
_cell_length_a 3.692
_cell_length_b 15.090
_cell_length_c 10.067
_cell_angle_alpha 90.00
_cell_angle_beta 90.00
_cell_angle_gamma 90.00
_symmetry_space_group_name_H-M 'C m c m'
_symmetry_Int_Tables_number 63
_symmetry_space_group_name_Hall '-C 2c 2'
loop_
_atom_site_label
_atom_site_fract_x
_atom_site_fract_y
_atom_site_fract_z
Rb1 0.000 0.245 0.250
Al1 0.000 0.031 0.750
Fe1 0.000 0.500 0.000
S1 0.000 0.108 0.561
S2 0.000 0.440 0.750
```

***

Record 3
The following is a DFT calculation (PBE) of a relaxed RbAlFeTe3 crystal.

Output
Polymorph energy (0 for the lowest one), eV per formula unit: 0.000

Structure (CIF):
```
data_RbAlFeTe3
_cell_length_a 9.952
_cell_length_b 4.049
_cell_length_c 10.320
_cell_angle_alpha 90.00
_cell_angle_beta 111.57
_cell_angle_gamma 90.00
_symmetry_space_group_name_H-M 'P 1 21/m 1'
_symmetry_Int_Tables_number 11
_symmetry_space_group_name_Hall '-P 2yb'
loop_
_atom_site_label
_atom_site_fract_x
_atom_site_fract_y
_atom_site_fract_z
Rb1 0.196 0.250 0.233
Al1 0.347 0.750 0.866
Fe1 0.062 0.250 0.576
Te1 0.144 0.250 0.851
Te2 0.221 0.750 0.547
Te3 0.469 0.750 0.155
```

***

Record 4
The following is a DFT calculation (PBE) of a relaxed RbAlFeTe3 crystal.

Output
Polymorph energy (0 for the lowest one), eV per formula unit: 0.373

Structure (CIF):
```
data_RbAlFeTe3
_cell_length_a 4.117
_cell_length_b 16.663
_cell_length_c 11.358
_cell_angle_alpha 90.00
_cell_angle_beta 90.00
_cell_angle_gamma 90.00
_symmetry_space_group_name_H-M 'C m c m'
_symmetry_Int_Tables_number 63
_symmetry_space_group_name_Hall '-C 2c 2'
loop_
_atom_site_label
_atom_site_fract_x
_atom_site_fract_y
_atom_site_fract_z
Rb1 0.000 0.247 0.250
Al1 0.000 0.466 0.750
Fe1 0.000 0.000 0.000
Te1 0.000 0.066 0.750
Te2 0.000 0.388 0.552
```

***

Record 5
The following is a DFT calculation (PBE) of a relaxed Al4FeRe crystal.

Output
DFT total energy, eV per atom: -6.219

Structure (CIF):
```
data_Al4FeRe
_cell_length_a 3.123
_cell_length_b 3.123
_cell_length_c 8.453
_cell_angle_alpha 90.00
_cell_angle_beta 90.00
_cell_angle_gamma 90.00
_symmetry_space_group_name_H-M 'P 4/m m m'
_symmetry_Int_Tables_number 123
_symmetry_space_group_name_Hall '-P 4 2'
loop_
_atom_site_label
_atom_site_fract_x
_atom_site_fract_y
_atom_site_fract_z
Al1 0.000 0.000 0.152
Al2 0.500 0.500 0.335
Fe1 0.500 0.500 0.000
Re1 0.000 0.000 0.500
```

***

Record 6
The following is a DFT calculation (PBE) of a relaxed AlFe2Re crystal.

Output
DFT total energy, eV per atom: -8.227

Structure (CIF):
```
data_AlFe2Re
_cell_length_a 5.856
_cell_length_b 5.856
_cell_length_c 5.856
_cell_angle_alpha 90.00
_cell_angle_beta 90.00
_cell_angle_gamma 90.00
_symmetry_space_group_name_H-M 'F -4 3 m'
_symmetry_Int_Tables_number 216
_symmetry_space_group_name_Hall 'F -4 2 3'
loop_
_atom_site_label
_atom_site_fract_x
_atom_site_fract_y
_atom_site_fract_z
Al1 0.000 0.000 0.000
Fe1 0.000 0.000 0.500
Fe2 0.250 0.250 0.750
Re1 0.250 0.250 0.250
```

***

Record 7
The following is a DFT calculation (PBE) of a relaxed AlFeRe2 crystal.

Output
DFT total energy, eV per atom: -9.284

Structure (CIF):
```
data_AlFeRe2
_cell_length_a 6.001
_cell_length_b 6.001
_cell_length_c 6.001
_cell_angle_alpha 90.00
_cell_angle_beta 90.00
_cell_angle_gamma 90.00
_symmetry_space_group_name_H-M 'F -4 3 m'
_symmetry_Int_Tables_number 216
_symmetry_space_group_name_Hall 'F -4 2 3'
loop_
_atom_site_label
_atom_site_fract_x
_atom_site_fract_y
_atom_site_fract_z
Al1 0.000 0.000 0.000
Fe1 0.250 0.250 0.250
Re1 0.000 0.000 0.500
Re2 0.250 0.250 0.750
```

***

Record 8
The following is a DFT calculation (PBE) of a relaxed ScAlFeRe crystal.

Output
Polymorph energy (0 for the lowest one), eV per formula unit: 0.000

Structure (CIF):
```
data_ScAlFeRe
_cell_length_a 6.219
_cell_length_b 6.219
_cell_length_c 6.219
_cell_angle_alpha 90.00
_cell_angle_beta 90.00
_cell_angle_gamma 90.00
_symmetry_space_group_name_H-M 'F -4 3 m'
_symmetry_Int_Tables_number 216
_symmetry_space_group_name_Hall 'F -4 2 3'
loop_
_atom_site_label
_atom_site_fract_x
_atom_site_fract_y
_atom_site_fract_z
Sc1 0.000 0.000 0.000
Al1 0.000 0.000 0.500
Fe1 0.250 0.250 0.750
Re1 0.250 0.250 0.250
```

***

Record 9
The following is a DFT calculation (PBE) of a relaxed TaAlFeRe crystal.

Output
Polymorph energy (0 for the lowest one), eV per formula unit: 0.000

Structure (CIF):
```
data_TaAlFeRe
_cell_length_a 6.134
_cell_length_b 6.134
_cell_length_c 6.134
_cell_angle_alpha 90.00
_cell_angle_beta 90.00
_cell_angle_gamma 90.00
_symmetry_space_group_name_H-M 'F -4 3 m'
_symmetry_Int_Tables_number 216
_symmetry_space_group_name_Hall 'F -4 2 3'
loop_
_atom_site_label
_atom_site_fract_x
_atom_site_fract_y
_atom_site_fract_z
Ta1 0.000 0.000 0.000
Al1 0.000 0.000 0.500
Fe1 0.250 0.250 0.750
Re1 0.250 0.250 0.250
```

***

Record 10
The following is a DFT calculation (PBE) of a relaxed AlFeReTc crystal.

Output
Polymorph energy (0 for the lowest one), eV per formula unit: 0.000

Structure (CIF):
```
data_AlFeReTc
_cell_length_a 5.982
_cell_length_b 5.982
_cell_length_c 5.982
_cell_angle_alpha 90.00
_cell_angle_beta 90.00
_cell_angle_gamma 90.00
_symmetry_space_group_name_H-M 'F -4 3 m'
_symmetry_Int_Tables_number 216
_symmetry_space_group_name_Hall 'F -4 2 3'
loop_
_atom_site_label
_atom_site_fract_x
_atom_site_fract_y
_atom_site_fract_z
Al1 0.000 0.000 0.000
Fe1 0.250 0.250 0.250
Re1 0.000 0.000 0.500
Tc1 0.250 0.250 0.750
```

***

Record 11
The following is a DFT calculation (PBE) of a relaxed YAlFeRe crystal.

Output
Polymorph energy (0 for the lowest one), eV per formula unit: 0.465

Structure (CIF):
```
data_YAlFeRe
_cell_length_a 6.503
_cell_length_b 6.503
_cell_length_c 6.503
_cell_angle_alpha 90.00
_cell_angle_beta 90.00
_cell_angle_gamma 90.00
_symmetry_space_group_name_H-M 'F -4 3 m'
_symmetry_Int_Tables_number 216
_symmetry_space_group_name_Hall 'F -4 2 3'
loop_
_atom_site_label
_atom_site_fract_x
_atom_site_fract_y
_atom_site_fract_z
Y1 0.000 0.000 0.000
Al1 0.250 0.250 0.250
Fe1 0.000 0.000 0.500
Re1 0.250 0.250 0.750
```

***

Record 12
The following is a DFT calculation (PBE) of a relaxed YAlFeRe crystal.

Output
Polymorph energy (0 for the lowest one), eV per formula unit: 0.000

Structure (CIF):
```
data_YAlFeRe
_cell_length_a 6.436
_cell_length_b 6.436
_cell_length_c 6.436
_cell_angle_alpha 90.00
_cell_angle_beta 90.00
_cell_angle_gamma 90.00
_symmetry_space_group_name_H-M 'F -4 3 m'
_symmetry_Int_Tables_number 216
_symmetry_space_group_name_Hall 'F -4 2 3'
loop_
_atom_site_label
_atom_site_fract_x
_atom_site_fract_y
_atom_site_fract_z
Y1 0.000 0.000 0.000
Al1 0.000 0.000 0.500
Fe1 0.250 0.250 0.750
Re1 0.250 0.250 0.250
```